# Sc3In SCAN PBEsol geometry
# Distance to the lowest polymorph of the same formula = 0 meV/atom
# N(E_F) = 7.23 states/eV/cell
# Final energy = -19.43 eV/atom
data_Sc3In
_chemical_formula_sum 'Sc6 In2'
_space_group_name_H-M_alt 'P 1'
_space_group_IT_number 1
_cell_length_a 5.1318
_cell_length_b 6.3187
_cell_length_c 6.3187
_cell_angle_alpha 120.00
_cell_angle_beta 90.00
_cell_angle_gamma 90.00
loop_
_space_group_symop_operation_xyz
'x,y,z'
loop_
_atom_site_label
_atom_site_type_symbol
_atom_site_fract_x
_atom_site_fract_y
_atom_site_fract_z
In1 In 0.7500 0.6667 0.3333
In2 In 0.2500 0.3333 0.6667
Sc1 Sc 0.7500 0.1688 0.3375
Sc2 Sc 0.7500 0.1688 0.8312
Sc3 Sc 0.7500 0.6625 0.8312
Sc4 Sc 0.2500 0.8312 0.6625
Sc5 Sc 0.2500 0.8312 0.1688
Sc6 Sc 0.2500 0.3375 0.1688